[1]
This record from the Alexandria database describes crystalline CsZnHg3 at its relaxed geometry. The functional is PBEsol.

Lattice parameters (Å, degrees): 5.326 5.326 5.326 90.00 90.00 90.00
Space group Pm-3m (No. 221)
One atom of each set of equivalent atoms:
1 Cs 0.000 0.000 0.000 x1
2 Zn 0.500 0.500 0.500 x1
3 Hg 0.000 0.500 0.500 x3

Output
- Density: 8.79 g cm⁻³
- Volume: 30.2 Å³/atom
- Final energy: -0.961 eV/atom
- Calculated formation energy: -56 kJ/mol of formula units



[2]
This record from the Alexandria database describes crystalline AlP2SeS at its relaxed geometry. The functional is PBEsol.

Lattice parameters (Å, degrees): 4.689 4.689 4.729 90.00 90.00 90.00
Space group P4/mmm (No. 123)
One atom of each set of equivalent atoms:
1 Al 0.000 0.000 0.000 x1
2 P 0.000 0.500 0.500 x2
3 Se 0.500 0.500 0.500 x1
4 S 0.500 0.500 0.000 x1

Output
- Formation energy from raw total energies: 0.901 eV/atom
- Density: 3.19 g cm⁻³
- Volume: 20.8 Å³/atom
- Final energy: -3.881 eV/atom



Which formula does entry 1 have? CsZnHg3



Please write out number 1 again, unchanged.
This record from the Alexandria database describes crystalline CsZnHg3 at its relaxed geometry. The functional is PBEsol.

Lattice parameters (Å, degrees): 5.326 5.326 5.326 90.00 90.00 90.00
Space group Pm-3m (No. 221)
One atom of each set of equivalent atoms:
1 Cs 0.000 0.000 0.000 x1
2 Zn 0.500 0.500 0.500 x1
3 Hg 0.000 0.500 0.500 x3

Output
- Density: 8.79 g cm⁻³
- Volume: 30.2 Å³/atom
- Final energy: -0.961 eV/atom
- Calculated formation energy: -56 kJ/mol of formula units



Which value of density does entry 1 give? 8.79 g cm⁻³